Entry 1:
# Cs2SiB PBE optimized geometry
data_Cs2SiB
_cell_length_a 8.594
_cell_length_b 8.594
_cell_length_c 8.594
_cell_angle_alpha 90.00
_cell_angle_beta 90.00
_cell_angle_gamma 90.00
_space_group_name_H-M_alt 'F m -3 m'
_space_group_IT_number 225
_space_group_name_Hall '-F 4 2 3'
loop_
_atom_site_label
_atom_site_type_symbol
_atom_site_fract_x
_atom_site_fract_y
_atom_site_fract_z
Cs1 Cs 0.250 0.250 0.250
Si1 Si 0.000 0.000 0.000
B1 B 0.000 0.000 0.500
# - Formation energy (no corrections): 1.456 eV/atom
# - Crystal system: cubic
# - Total energy: -1.995 eV/atom

***

Entry 2:
# LiDy2Hg PBE optimized geometry
data_LiDy2Hg
_cell_length_a 4.9627
_cell_length_b 4.9627
_cell_length_c 16.8714
_cell_angle_alpha 90.00
_cell_angle_beta 90.00
_cell_angle_gamma 120.00
_space_group_name_H-M_alt 'R 3 m'
_space_group_IT_number 160
_space_group_name_Hall 'R 3 -2"'
loop_
_atom_site_label
_atom_site_type_symbol
_atom_site_fract_x
_atom_site_fract_y
_atom_site_fract_z
Li1 Li 0.0000 0.0000 0.0000
Dy1 Dy 0.0000 0.0000 0.5754
Dy2 Dy 0.0000 0.0000 0.7828
Hg1 Hg 0.0000 0.0000 0.1834
# - ΔH_f (0 K): 0.10 eV per atom
# - Crystal system: trigonal
# - Total energy: -2.756 eV/atom

***

no.,total magnetic moment (μB/cell)
1,4.0
2,0.0